No. 1
Computed, not measured: a relaxed BaLi2Mg2 crystal at the PBE level of DFT.

Calculated values
- total DFT energy (no corrections) (eV per atom) = -1.769
- theoretical density (g cm⁻³) = 2.35
- ΔE to the lowest computed polymorph (eV/atom) = 0.000
- DFT formation energy (eV per atom) = 0.018

Unit cell a=8.8470 b=8.8470 c=3.6005 alpha=90.00 beta=90.00 gamma=90.00
Closest atoms and distances in Å follow each position.
Fractional positions:
Li 0.1248 0.3752 0.0000  6 Mg 3.11-3.24, 1 Li 3.12
Mg 0.6602 0.8398 0.5000  6 Li 3.11-3.24
Li 0.3752 0.8752 0.0000  6 Mg 3.11-3.24, 1 Li 3.12
Ba 0.0000 0.0000 0.0000  4 Li 3.50, 2 Ba 3.60, 8 Mg 3.78
Mg 0.3398 0.1602 0.5000  6 Li 3.11-3.24
Mg 0.1602 0.6602 0.5000  6 Li 3.11-3.24
Ba 0.5000 0.5000 0.0000  4 Li 3.50, 2 Ba 3.60, 8 Mg 3.78
Li 0.8752 0.6248 0.0000  6 Mg 3.11-3.24, 1 Li 3.12
Mg 0.8398 0.3398 0.5000  6 Li 3.11-3.24
Li 0.6248 0.1248 0.0000  6 Mg 3.11-3.24, 1 Li 3.12

No. 2
Computed, not measured: a relaxed CaZr2W crystal at the PBE level of DFT.

Calculated values
- total DFT energy (no corrections) (eV per atom) = -7.616
- theoretical density (g cm⁻³) = 6.90
- ΔE to the lowest computed polymorph (eV/atom) = 0.183
- DFT formation energy (eV per atom) = 0.397

Unit cell a=10.2948 b=10.2948 c=10.2948 alpha=18.68 beta=18.68 gamma=18.68
Closest atoms and distances in Å follow each position.
Fractional positions:
Zr 0.0167 0.0167 0.0167  3 W 2.79
W 0.7500 0.7500 0.7500  6 Zr 2.79
Ca 0.2500 0.2500 0.2500  6 Ca 3.34, 6 Zr 3.60
Zr 0.4833 0.4833 0.4833  3 W 2.79

No. 3
Computed, not measured: a relaxed PaGa3Br8 crystal at the PBE level of DFT.

Calculated values
- formation energy (no corrections) (meV per atom) = -980.9
- total DFT energy (no corrections) (eV per atom) = -3.644
- theoretical density (g cm⁻³) = 3.56

Unit cell a=7.8832 b=7.8832 c=9.0680 alpha=90.00 beta=90.00 gamma=116.75
Closest atoms and distances in Å follow each position.
Fractional positions:
Ga 0.5000 0.5000 0.0000  6 Br 3.04-3.20
Ga 0.0000 0.5000 0.2052  2 Br 2.80
Br 0.7381 0.7234 0.2825  1 Pa 2.75
Br 0.7234 0.7381 0.7175  1 Pa 2.75
Br 0.2734 0.7266 0.0000  3 Ga 2.80-3.04
Ga 0.5000 0.0000 0.7948  2 Br 2.80
Br 0.2619 0.2766 0.2825  1 Pa 2.75
Br 0.7266 0.2734 0.0000  3 Ga 2.80-3.04
Br 0.2766 0.2619 0.7175  1 Pa 2.75
Br 0.7013 0.2987 0.5000  1 Pa 2.70
Br 0.2987 0.7013 0.5000  1 Pa 2.70
Pa 0.5000 0.5000 0.5000  6 Br 2.70-2.75

No. 4
Computed, not measured: a relaxed PrTlBr crystal at the PBE level of DFT.

Calculated values
- formation energy (no corrections) (meV per atom) = -982.1
- total DFT energy (no corrections) (eV per atom) = -3.922
- theoretical density (g cm⁻³) = 6.83
- ΔE to the lowest computed polymorph (eV/atom) = 0.000

Unit cell a=4.6685 b=4.6685 c=11.2791 alpha=90.05 beta=101.89 gamma=120.01
Closest atoms and distances in Å follow each position.
Fractional positions:
Pr 0.8638 0.4314 0.2952  3 Br 3.15, 3 Tl 3.16
Br 0.5680 0.2849 0.8529  3 Pr 3.15
Pr 0.1362 0.5686 0.7048  3 Br 3.15, 3 Tl 3.16
Tl 0.7026 0.8515 0.5541  3 Tl 2.94, 3 Pr 3.16
Br 0.4320 0.7151 0.1471  3 Pr 3.15
Tl 0.2974 0.1485 0.4459  3 Tl 2.94, 3 Pr 3.16

No. 5
Computed, not measured: a relaxed ErLu2Si crystal at the PBE level of DFT.

Calculated values
- formation energy (no corrections) (meV per atom) = 38.3
- total DFT energy (no corrections) (eV per atom) = -4.719
- theoretical density (g cm⁻³) = 8.19

Unit cell a=3.4565 b=3.4565 c=10.8685 alpha=80.85 beta=80.85 gamma=60.00
Closest atoms and distances in Å follow each position.
Fractional positions:
Lu 0.1052 0.1052 0.6843  3 Si 2.80
Si 0.5000 0.5000 0.5000  6 Lu 2.80
Lu 0.8948 0.8948 0.3157  3 Si 2.80
Er 0.0000 0.0000 0.0000  2 Lu 3.37, 6 Er 3.46

No. 6
Computed, not measured: a relaxed InOs2Pt crystal at the PBE level of DFT.

Calculated values
- total DFT energy (no corrections) (eV per atom) = -7.473
- theoretical density (g cm⁻³) = 17.77
- ΔE to the lowest computed polymorph (eV/atom) = 0.246
- DFT formation energy (eV per atom) = 0.337

Unit cell a=4.8287 b=4.8287 c=5.0372 alpha=79.31 beta=79.31 gamma=34.06
Closest atoms and distances in Å follow each position.
Fractional positions:
In 0.7500 0.7500 0.7500  2 In 2.83, 6 Os 2.84-2.91, 4 Pt 2.89
Pt 0.2500 0.2500 0.2500  6 Os 2.75-2.76, 2 Pt 2.83, 4 In 2.89
Os 0.9989 0.9989 0.0274  4 Os 2.65-2.83, 3 Pt 2.75-2.76, 3 In 2.84-2.91
Os 0.5011 0.5011 0.4726  4 Os 2.65-2.83, 3 Pt 2.75-2.76, 3 In 2.84-2.91

| no. | total moment (μB/atom) |
| --- | --- |
| 1 | 0.000 |
| 2 | 0.000 |
| 3 | 0.007 |
| 4 | 0.000 |
| 5 | 0.118 |
| 6 | 0.000 |